## 1
First-principles (PBE-GGA) data for a geometry-optimized BaReTc structure, as listed in the Alexandria database.

The structure in CIF format:
```
data_BaReTc
_space_group_name_H-M_alt 'F -4 3 m'
_space_group_IT_number 216
_space_group_name_Hall 'F -4 2 3'
_cell_length_a 6.574
_cell_length_b 6.574
_cell_length_c 6.574
_cell_angle_alpha 90.00
_cell_angle_beta 90.00
_cell_angle_gamma 90.00
loop_
_atom_site_label
_atom_site_type_symbol
_atom_site_fract_x
_atom_site_fract_y
_atom_site_fract_z
Ba1 Ba 0.000 0.000 0.000
Re1 Re 0.250 0.250 0.250
Tc1 Tc 0.000 0.000 0.500
```

Calculated values
- total moment (μB/cell) = 0.00

=====

## 2
First-principles (PBE-GGA) data for a geometry-optimized BaReTc structure, as listed in the Alexandria database.

The structure in CIF format:
```
data_BaReTc
_space_group_name_H-M_alt 'I 4 m m'
_space_group_IT_number 107
_space_group_name_Hall 'I 4 -2'
_cell_length_a 3.224
_cell_length_b 3.224
_cell_length_c 13.059
_cell_angle_alpha 90.00
_cell_angle_beta 90.00
_cell_angle_gamma 90.00
loop_
_atom_site_label
_atom_site_type_symbol
_atom_site_fract_x
_atom_site_fract_y
_atom_site_fract_z
Ba1 Ba 0.000 0.000 0.000
Re1 Re 0.000 0.000 0.706
Tc1 Tc 0.000 0.000 0.292
```

Calculated values
- total moment (μB/cell) = 0.00

=====

## 3
First-principles (PBE-GGA) data for a geometry-optimized BaReTc structure, as listed in the Alexandria database.

The structure in CIF format:
```
data_BaReTc
_space_group_name_H-M_alt 'F -4 3 m'
_space_group_IT_number 216
_space_group_name_Hall 'F -4 2 3'
_cell_length_a 6.585
_cell_length_b 6.585
_cell_length_c 6.585
_cell_angle_alpha 90.00
_cell_angle_beta 90.00
_cell_angle_gamma 90.00
loop_
_atom_site_label
_atom_site_type_symbol
_atom_site_fract_x
_atom_site_fract_y
_atom_site_fract_z
Ba1 Ba 0.000 0.000 0.000
Re1 Re 0.250 0.250 0.250
Tc1 Tc 0.250 0.250 0.750
```

Calculated values
- total moment (μB/cell) = 0.55

=====

Short version: 3 is the least stable of them.

=====

## 1
First-principles (PBE-GGA) data for a geometry-optimized BaRe3Tc structure, as listed in the Alexandria database.

The structure in CIF format:
```
data_BaRe3Tc
_space_group_name_H-M_alt 'P m -3 m'
_space_group_IT_number 221
_space_group_name_Hall '-P 4 2 3'
_cell_length_a 4.851
_cell_length_b 4.851
_cell_length_c 4.851
_cell_angle_alpha 90.00
_cell_angle_beta 90.00
_cell_angle_gamma 90.00
loop_
_atom_site_label
_atom_site_type_symbol
_atom_site_fract_x
_atom_site_fract_y
_atom_site_fract_z
Ba1 Ba 0.000 0.000 0.000
Re1 Re 0.000 0.000 0.500
Tc1 Tc 0.500 0.500 0.500
```

Calculated values
- total moment (μB/cell) = 0.01

=====

## 2
First-principles (PBE-GGA) data for a geometry-optimized BaRe3Tc structure, as listed in the Alexandria database.

The structure in CIF format:
```
data_BaRe3Tc
_space_group_name_H-M_alt 'P m -3 m'
_space_group_IT_number 221
_space_group_name_Hall '-P 4 2 3'
_cell_length_a 4.848
_cell_length_b 4.848
_cell_length_c 4.848
_cell_angle_alpha 90.00
_cell_angle_beta 90.00
_cell_angle_gamma 90.00
loop_
_atom_site_label
_atom_site_type_symbol
_atom_site_fract_x
_atom_site_fract_y
_atom_site_fract_z
Ba1 Ba 0.000 0.000 0.000
Re1 Re 0.000 0.500 0.500
Tc1 Tc 0.500 0.500 0.500
```

Calculated values
- total moment (μB/cell) = 2.10

=====

Short version: 1 is the least stable of them.